Computed, not measured: Tb5Tm2In after structural relaxation at the PBE level of DFT.

Unit cell a=4.902 b=4.902 c=10.573 alpha=103.40 beta=103.40 gamma=90.00
Atoms (fractional coordinates):
In1 0.000 0.000 0.000
Tm1 0.747 0.747 0.494
Tb1 0.500 0.500 0.000
Tm2 0.253 0.253 0.506
Tb2 0.877 0.377 0.753
Tb3 0.623 0.123 0.247
Tb4 0.377 0.877 0.753
Tb5 0.123 0.623 0.247

Computed properties:
* DOS at the Fermi energy: 10.81 states/eV/f.u.
* symmetry: I4/mmm, No. 139
* formation energy from the elements: -0.114 eV/atom